A plane-wave DFT calculation with GGA-PBE was carried out for an optimized crystal structure of Ta2AlMo.

Cell: 2.8369 2.8369 8.9431 Å, 90.00 90.00 109.09°
With the nearest neighbours (Å) after each atom.
Fractional positions:
Ta1 0.0000 0.0000 0.9975  2 Mo 2.76, 2 Al 2.79, 4 Ta 2.84
Ta2 0.0000 0.0000 0.5025  2 Mo 2.76, 2 Al 2.79, 4 Ta 2.84
Mo1 0.5000 0.5000 0.7500  4 Ta 2.76, 4 Mo 2.84
Al1 0.5000 0.5000 0.2500  4 Ta 2.79, 4 Al 2.84

Summary:
DOS at the Fermi energy	3.425	states/eV per cell
energy of formation from the pure elements	-11.9	kJ per mole of atoms